No. 1
# Pm5Ag2Ge2

A relaxed structure of Pm5Ag2Ge2 (PBE, Alexandria via LeMat-Bulk).

POSCAR file:
```
Pm5Ag2Ge2
1.0
-6.076 -2.400 -4.322
3.400 -6.964 -0.912
-6.688 -3.847 4.440
Pm Ag Ge
10 4 4
Cartesian
0.000 0.000 0.000
-1.338 -4.682 -2.617
-7.085 -5.130 1.150
-7.040 -10.530 -0.991
-4.520 -8.270 1.309
-9.605 -7.390 -1.150
-2.280 -8.081 -1.944
-2.325 -2.681 0.196
-4.845 -4.941 -2.104
0.241 -5.821 0.356
-5.140 -2.725 1.641
-6.479 -7.407 -0.976
-7.624 -3.523 -1.523
-2.886 -5.804 0.182
0.519 -2.907 -0.878
-3.196 -6.457 -4.356
0.690 -6.993 -2.422
-3.366 -2.371 -2.812
```

Properties
- SG = Cmce, No. 64
- calculated volume (Å³ per atom) = 27.1
- formation enthalpy at 0 K (meV/atom) = -495


No. 2
# InTeRh2I

A relaxed structure of InTeRh2I (PBE, Alexandria via LeMat-Bulk).

POSCAR file:
```
InTeRh2I
1.0
-0.514 -3.061 3.851
-4.351 -2.899 -2.885
3.349 -3.054 -1.981
I Te Rh In
1 1 2 1
Cartesian
-0.758 -4.507 -0.507
0.000 0.000 0.000
1.674 -1.527 -0.991
-0.257 -1.531 1.926
-2.175 -1.449 -1.442
```

Properties
- formation energy from raw total energies (eV/atom) = 0.621
- SG = P4/mmm, No. 123
- calculated volume (Å³ per atom) = 29.2


No. 3
# Li6SeBr2Cl2

A relaxed structure of Li6SeBr2Cl2 (PBE, Alexandria via LeMat-Bulk).

POSCAR file:
```
Li6SeBr2Cl2
1.0
0.451 -6.513 -1.789
5.947 2.121 2.440
-4.911 0.463 5.439
Li Se Br Cl
6 1 2 2
Cartesian
1.806 -2.974 3.725
-1.292 -5.206 3.158
-0.320 -0.955 2.365
2.176 0.243 5.827
2.779 1.277 2.932
-0.690 -4.172 0.263
-2.456 0.231 2.720
1.636 -4.651 -0.877
4.762 0.259 1.528
1.594 -0.629 3.700
-0.107 -3.301 2.391
```

Properties
- formation energy from raw total energies (eV/atom) = -1.503
- SG = C2/m, No. 12
- calculated volume (Å³ per atom) = 24.5


No. 4
# KAs2Ir

A relaxed structure of KAs2Ir (PBE, Alexandria via LeMat-Bulk).

POSCAR file:
```
KAs2Ir
1.0
-0.806 -2.933 0.409
3.077 -0.520 2.337
-4.180 1.978 5.943
As Ir K
2 1 1
Cartesian
-0.256 0.121 0.364
-0.107 -1.138 3.140
-1.634 0.773 2.323
-2.001 -0.242 5.833
```

Properties
- SG = Pmm2, No. 25
- calculated volume (Å³ per atom) = 22.5
- energy above the lowest structure with this stoichiometry (eV/atom) = 0.4637
- formation enthalpy at 0 K (meV/atom) = 157


Please write out number 3 again, unchanged.
# Li6SeBr2Cl2

A relaxed structure of Li6SeBr2Cl2 (PBE, Alexandria via LeMat-Bulk).

POSCAR file:
```
Li6SeBr2Cl2
1.0
0.451 -6.513 -1.789
5.947 2.121 2.440
-4.911 0.463 5.439
Li Se Br Cl
6 1 2 2
Cartesian
1.806 -2.974 3.725
-1.292 -5.206 3.158
-0.320 -0.955 2.365
2.176 0.243 5.827
2.779 1.277 2.932
-0.690 -4.172 0.263
-2.456 0.231 2.720
1.636 -4.651 -0.877
4.762 0.259 1.528
1.594 -0.629 3.700
-0.107 -3.301 2.391
```

Properties
- formation energy from raw total energies (eV/atom) = -1.503
- SG = C2/m, No. 12
- calculated volume (Å³ per atom) = 24.5